{
  "formula": "AcCd3Pd3",
  "functional": "PBE-GGA",
  "state": "relaxed",
  "cell": [[3.584, 2.069, 6.822], [-3.584, 2.069, 6.822], [0.000, -4.138, 6.822]],
  "species": ["Ac", "Ac", "Cd", "Cd", "Cd", "Cd", "Cd", "Cd", "Pd", "Pd", "Pd", "Pd", "Pd", "Pd"],
  "frac_coords": [[0.154, 0.154, 0.154], [0.846, 0.846, 0.846], [0.072, 0.575, 0.247], [0.247, 0.072, 0.575], [0.425, 0.753, 0.928], [0.575, 0.247, 0.072], [0.753, 0.928, 0.425], [0.928, 0.425, 0.753], [0.212, 0.672, 0.436], [0.328, 0.564, 0.788], [0.436, 0.212, 0.672], [0.564, 0.788, 0.328], [0.672, 0.436, 0.212], [0.788, 0.328, 0.564]],
  "dos_ef_per_ev_cell": 6.2,
  "spacegroup": "R-3, No. 148",
  "dft_energy_ev_per_fu": -25.5,
  "formation_energy_kj_per_mol_atoms": -42.1,
  "de_polymorph_mev_per_atom": 47
}

---

{
  "formula": "Ac2Cd6Pd3",
  "functional": "PBE-GGA",
  "state": "relaxed",
  "cell": [[8.454, 0.000, 0.000], [-4.227, 7.322, 0.000], [0.000, 0.000, 4.361]],
  "species": ["Ac", "Ac", "Cd", "Cd", "Cd", "Cd", "Cd", "Cd", "Pd", "Pd", "Pd"],
  "frac_coords": [[0.333, 0.667, 0.000], [0.667, 0.333, 0.000], [0.000, 0.200, 0.000], [0.000, 0.719, 0.500], [0.200, 0.000, 0.000], [0.281, 0.281, 0.500], [0.719, 0.000, 0.500], [0.800, 0.800, 0.000], [0.000, 0.397, 0.500], [0.397, 0.000, 0.500], [0.603, 0.603, 0.500]],
  "dos_ef_per_ev_cell": 6.5,
  "spacegroup": "P-62m, No. 189",
  "dft_energy_ev_per_fu": -34.2,
  "formation_energy_kj_per_mol_atoms": -43.1
}

---

{
  "formula": "Ac2Cd2Pd3",
  "functional": "PBE-GGA",
  "state": "relaxed",
  "cell": [[7.219, -2.239, 0.000], [7.219, 2.239, 0.000], [-0.595, 0.000, 5.654]],
  "species": ["Ac", "Ac", "Cd", "Cd", "Pd", "Pd", "Pd"],
  "frac_coords": [[0.140, 0.140, 0.115], [0.860, 0.860, 0.885], [0.399, 0.399, 0.393], [0.601, 0.601, 0.607], [0.233, 0.233, 0.642], [0.500, 0.500, 0.000], [0.767, 0.767, 0.358]],
  "dos_ef_per_ev_cell": 3.1,
  "spacegroup": "C2/m, No. 12",
  "dft_energy_ev_per_fu": -29.9,
  "formation_energy_kj_per_mol_atoms": -59.6
}

---

{
  "formula": "Ac8Cd2Pd",
  "functional": "PBE-GGA",
  "state": "relaxed",
  "cell": [[9.997, -2.774, 0.000], [9.997, 2.774, 0.000], [-1.125, 0.000, 7.549]],
  "species": ["Ac", "Ac", "Ac", "Ac", "Ac", "Ac", "Ac", "Ac", "Cd", "Cd", "Pd"],
  "frac_coords": [[0.017, 0.017, 0.270], [0.208, 0.208, 0.815], [0.352, 0.352, 0.521], [0.407, 0.407, 0.037], [0.593, 0.593, 0.963], [0.648, 0.648, 0.479], [0.792, 0.792, 0.185], [0.983, 0.983, 0.730], [0.189, 0.189, 0.251], [0.811, 0.811, 0.749], [0.500, 0.500, 0.500]],
  "dos_ef_per_ev_cell": 12.7,
  "spacegroup": "C2/m, No. 12",
  "dft_energy_ev_per_fu": -42.0,
  "formation_energy_kj_per_mol_atoms": -18.5
}

---

{
  "formula": "Ac3Cd2Pd9",
  "functional": "PBE-GGA",
  "state": "relaxed",
  "cell": [[-2.204, 4.967, 6.860], [2.204, -4.967, 6.860], [2.204, 4.967, -6.860]],
  "species": ["Ac", "Ac", "Ac", "Cd", "Cd", "Pd", "Pd", "Pd", "Pd", "Pd", "Pd", "Pd", "Pd", "Pd"],
  "frac_coords": [[0.000, 0.000, 0.000], [0.301, 0.301, 0.000], [0.699, 0.699, 0.000], [0.293, 0.500, 0.793], [0.707, 0.500, 0.207], [0.037, 0.674, 0.364], [0.157, 0.875, 0.282], [0.310, 0.674, 0.636], [0.407, 0.125, 0.282], [0.500, 0.000, 0.500], [0.593, 0.875, 0.718], [0.690, 0.326, 0.364], [0.843, 0.125, 0.718], [0.963, 0.326, 0.636]],
  "dos_ef_per_ev_cell": 6.7,
  "spacegroup": "Immm, No. 71",
  "dft_energy_ev_per_fu": -69.6,
  "formation_energy_kj_per_mol_atoms": -60.0
}

---

{
  "formula": "Ac3CdPd3",
  "functional": "PBE-GGA",
  "state": "relaxed",
  "cell": [[6.313, -2.164, 0.000], [6.313, 2.164, 0.000], [-5.598, 0.000, 14.281]],
  "species": ["Ac", "Ac", "Ac", "Ac", "Ac", "Ac", "Cd", "Cd", "Pd", "Pd", "Pd", "Pd", "Pd", "Pd"],
  "frac_coords": [[0.018, 0.018, 0.380], [0.102, 0.102, 0.924], [0.231, 0.231, 0.227], [0.769, 0.769, 0.773], [0.898, 0.898, 0.076], [0.982, 0.982, 0.620], [0.264, 0.264, 0.589], [0.736, 0.736, 0.411], [0.378, 0.378, 0.925], [0.382, 0.382, 0.452], [0.472, 0.472, 0.770], [0.528, 0.528, 0.230], [0.618, 0.618, 0.548], [0.622, 0.622, 0.075]],
  "dos_ef_per_ev_cell": 8.9,
  "spacegroup": "C2/m, No. 12",
  "dft_energy_ev_per_fu": -33.8,
  "formation_energy_kj_per_mol_atoms": -68.2,
  "de_polymorph_mev_per_atom": 0
}

---

{
  "formula": "Ac2Cd5Pd3",
  "functional": "PBE-GGA",
  "state": "relaxed",
  "cell": [[2.245, -13.774, 0.000], [2.245, 13.774, 0.000], [0.000, 0.000, 7.831]],
  "species": ["Ac", "Ac", "Ac", "Ac", "Cd", "Cd", "Cd", "Cd", "Cd", "Cd", "Cd", "Cd", "Cd", "Cd", "Pd", "Pd", "Pd", "Pd", "Pd", "Pd"],
  "frac_coords": [[0.027, 0.973, 0.500], [0.323, 0.677, 0.406], [0.677, 0.323, 0.906], [0.973, 0.027, 0.000], [0.100, 0.900, 0.116], [0.206, 0.794, 0.217], [0.207, 0.793, 0.592], [0.369, 0.631, 0.952], [0.445, 0.555, 0.336], [0.555, 0.445, 0.836], [0.631, 0.369, 0.452], [0.793, 0.207, 0.092], [0.794, 0.206, 0.717], [0.900, 0.100, 0.616], [0.113, 0.887, 0.735], [0.261, 0.739, 0.904], [0.457, 0.543, 0.714], [0.543, 0.457, 0.214], [0.739, 0.261, 0.404], [0.887, 0.113, 0.235]],
  "dos_ef_per_ev_cell": 9.6,
  "spacegroup": "Cmc2_1, No. 36",
  "dft_energy_ev_per_fu": -33.4,
  "formation_energy_kj_per_mol_atoms": -48.7
}

---

{
  "formula": "Ac4Cd3Pd5",
  "functional": "PBE-GGA",
  "state": "relaxed",
  "cell": [[7.000, -2.473, 0.000], [7.000, 2.473, 0.000], [-6.530, 0.000, 9.523]],
  "species": ["Ac", "Ac", "Ac", "Ac", "Cd", "Cd", "Cd", "Pd", "Pd", "Pd", "Pd", "Pd"],
  "frac_coords": [[0.034, 0.034, 0.324], [0.264, 0.264, 0.741], [0.736, 0.736, 0.259], [0.966, 0.966, 0.676], [0.000, 0.000, 0.000], [0.330, 0.330, 0.081], [0.670, 0.670, 0.919], [0.300, 0.300, 0.491], [0.416, 0.416, 0.361], [0.500, 0.500, 0.000], [0.584, 0.584, 0.639], [0.700, 0.700, 0.509]],
  "dos_ef_per_ev_cell": 7.5,
  "spacegroup": "C2/m, No. 12",
  "dft_energy_ev_per_fu": -51.6,
  "formation_energy_kj_per_mol_atoms": -52.1
}

---

{
  "formula": "AcCd6Pd4",
  "functional": "PBE-GGA",
  "state": "relaxed",
  "cell": [[7.831, 0.000, 0.000], [-3.916, 6.782, 0.000], [0.000, 0.000, 4.437]],
  "species": ["Ac", "Cd", "Cd", "Cd", "Cd", "Cd", "Cd", "Pd", "Pd", "Pd", "Pd"],
  "frac_coords": [[0.000, 0.000, 0.000], [0.201, 0.403, 0.500], [0.201, 0.799, 0.500], [0.535, 0.071, 0.000], [0.535, 0.465, 0.000], [0.597, 0.799, 0.500], [0.929, 0.465, 0.000], [0.333, 0.667, 0.000], [0.409, 0.205, 0.500], [0.795, 0.205, 0.500], [0.795, 0.591, 0.500]],
  "dos_ef_per_ev_cell": 4.2,
  "spacegroup": "P-6m2, No. 187",
  "dft_energy_ev_per_fu": -34.7,
  "formation_energy_kj_per_mol_atoms": -37.9,
  "de_polymorph_mev_per_atom": 0
}

---

{
  "formula": "AcCd3Pd2",
  "functional": "PBE-GGA",
  "state": "relaxed",
  "cell": [[10.136, 0.000, 0.000], [-5.068, 8.778, 0.000], [0.000, 0.000, 4.633]],
  "species": ["Ac", "Ac", "Ac", "Cd", "Cd", "Cd", "Cd", "Cd", "Cd", "Cd", "Cd", "Cd", "Pd", "Pd", "Pd", "Pd", "Pd", "Pd"],
  "frac_coords": [[0.000, 0.000, 0.000], [0.333, 0.667, 0.500], [0.667, 0.333, 0.500], [0.000, 0.296, 0.500], [0.000, 0.500, 0.000], [0.000, 0.704, 0.500], [0.296, 0.000, 0.500], [0.296, 0.296, 0.500], [0.500, 0.000, 0.000], [0.500, 0.500, 0.000], [0.704, 0.000, 0.500], [0.704, 0.704, 0.500], [0.184, 0.369, 0.000], [0.184, 0.816, 0.000], [0.369, 0.184, 0.000], [0.631, 0.816, 0.000], [0.816, 0.184, 0.000], [0.816, 0.631, 0.000]],
  "dos_ef_per_ev_cell": 8.4,
  "spacegroup": "P6/mmm, No. 191",
  "dft_energy_ev_per_fu": -20.4,
  "formation_energy_kj_per_mol_atoms": -51.1,
  "de_polymorph_mev_per_atom": 0
}

---

{
  "formula": "AcCd2Pd2Pt",
  "functional": "PBE-GGA",
  "state": "relaxed",
  "cell": [[-2.627, 2.627, 5.517], [2.627, -2.627, 5.517], [2.627, 2.627, -5.517]],
  "species": ["Ac", "Cd", "Cd", "Pd", "Pd", "Pt"],
  "frac_coords": [[0.000, 0.000, 0.000], [0.250, 0.750, 0.500], [0.750, 0.250, 0.500], [0.262, 0.262, 0.000], [0.738, 0.738, 0.000], [0.500, 0.500, 0.000]],
  "dos_ef_per_ev_cell": 2.6,
  "spacegroup": "I4/mmm, No. 139",
  "dft_energy_ev_per_fu": -23.5,
  "formation_energy_kj_per_mol_atoms": -18.6
}

---

{
  "formula": "Ac2CdPd5Pt2",
  "functional": "PBE-GGA",
  "state": "relaxed",
  "cell": [[9.892, 0.000, 0.000], [0.000, 9.892, 0.000], [0.000, 0.000, 4.207]],
  "species": ["Ac", "Ac", "Ac", "Ac", "Cd", "Cd", "Pd", "Pd", "Pd", "Pd", "Pd", "Pd", "Pd", "Pd", "Pd", "Pd", "Pt", "Pt", "Pt", "Pt"],
  "frac_coords": [[0.172, 0.328, 0.000], [0.328, 0.828, 0.000], [0.672, 0.172, 0.000], [0.828, 0.672, 0.000], [0.000, 0.000, 0.000], [0.500, 0.500, 0.000], [0.000, 0.500, 0.500], [0.064, 0.800, 0.500], [0.200, 0.064, 0.500], [0.300, 0.564, 0.500], [0.436, 0.300, 0.500], [0.500, 0.000, 0.500], [0.564, 0.700, 0.500], [0.700, 0.436, 0.500], [0.800, 0.936, 0.500], [0.936, 0.200, 0.500], [0.125, 0.625, 0.000], [0.375, 0.125, 0.000], [0.625, 0.875, 0.000], [0.875, 0.375, 0.000]],
  "dos_ef_per_ev_cell": 9.5,
  "spacegroup": "P4/mbm, No. 127",
  "dft_energy_ev_per_fu": -54.1,
  "formation_energy_kj_per_mol_atoms": -66.4
}